A plane-wave DFT calculation with GGA+U was carried out for crystalline Sm2ZnCoS2O2 at its relaxed geometry.

Geometry as POSCAR:
```
Sm2ZnCoS2O2
1.0
3.8333 0.0000 0.0000
-1.9167 3.3197 0.0000
0.0000 0.0000 10.7679
Sm Zn Co S O
2 1 1 2 2
Direct
0.0000 0.0000 0.0000
0.3333 0.6667 0.4347
0.6667 0.3333 0.7301
0.6667 0.3333 0.2243
0.0000 0.0000 0.6517
0.3333 0.6667 0.1652
0.6667 0.3333 0.4215
0.6667 0.3333 0.9125
```

Computed properties:
Magnetization = 1.07 μB/cell
Electronic total energy = -6.00 eV/atom
Crystal system = trigonal